Entry 1:
# SrTaRe2

A relaxed structure of SrTaRe2 (PBE-GGA, Alexandria via LeMat-Bulk).

Cell lengths 4.6881, 4.6881, 4.6881 Å; angles 119.94, 119.94, 90.10 degrees
Sites, in units of the cell vectors:
1 Re 0.0000 0.0000 0.0000
2 Re 0.2500 0.7500 0.5000
3 Sr 0.5000 0.5000 0.0000
4 Ta 0.7500 0.2500 0.5000

The value obtained for the volume is 72.9 Å³/cell. The spin magnetization comes out at 0.00 μB/f.u. As for the total energy: -8.647 eV per atom.

Entry 2:
# Li3Bi2Pd7

A relaxed structure of Li3Bi2Pd7 (PBE-GGA, Alexandria via LeMat-Bulk).

Cell lengths 3.6464, 4.1089, 15.1919 Å; angles 98.13, 90.00, 90.00 degrees
Sites, in units of the cell vectors:
1 Li 0.5000 0.5000 0.0000
2 Li 0.0000 0.2084 0.4207
3 Li 0.0000 0.7916 0.5793
4 Bi 0.5000 0.6385 0.2648
5 Bi 0.5000 0.3615 0.7352
6 Pd 0.5000 0.7187 0.4416
7 Pd 0.5000 0.2813 0.5584
8 Pd 0.0000 0.5667 0.1284
9 Pd 0.0000 0.0000 0.0000
10 Pd 0.0000 0.4333 0.8716
11 Pd 0.5000 0.9261 0.8583
12 Pd 0.5000 0.0739 0.1417

The value obtained for the volume is 225.3 Å³/cell. The spin magnetization comes out at 0.00 μB/f.u. As for the total energy: -4.394 eV per atom.

Entry 3:
# K2WS2Cl4

A relaxed structure of K2WS2Cl4 (PBE-GGA, Alexandria via LeMat-Bulk).

Cell lengths 6.8507, 7.0586, 7.0586 Å; angles 59.70, 67.70, 67.70 degrees
Sites, in units of the cell vectors:
1 K 0.2811 0.7237 0.7237
2 K 0.7189 0.2763 0.2763
3 W 0.5000 0.0000 0.0000
4 S 0.2478 0.1959 0.1959
5 S 0.7522 0.8041 0.8041
6 Cl 0.2977 0.7119 0.1982
7 Cl 0.7023 0.8018 0.2881
8 Cl 0.7023 0.2881 0.8018
9 Cl 0.2977 0.1982 0.7119

The value obtained for the volume is 265.0 Å³/cell. As for the uncorrected formation energy: -1.073 eV/atom. The spin magnetization comes out at 0.00 μB/f.u.

Entry 4:
# K2LaRu

A relaxed structure of K2LaRu (PBE-GGA, Alexandria via LeMat-Bulk).

Cell lengths 4.5875, 4.5875, 10.3139 Å; angles 78.34, 78.34, 56.02 degrees
Sites, in units of the cell vectors:
1 K 0.9515 0.9515 0.0735
2 K 0.7762 0.7762 0.6762
3 La 0.5509 0.5509 0.3752
4 Ru 0.2215 0.2215 0.3752

The value obtained for the volume is 175.2 Å³/cell. The spin magnetization comes out at 0.00 μB/f.u. As for the total energy: -3.832 eV per atom.

Entry 5:
# ErTm2Th

A relaxed structure of ErTm2Th (PBE-GGA, Alexandria via LeMat-Bulk).

Cell lengths 5.6073, 5.6073, 5.6073 Å; angles 60.00, 60.00, 60.00 degrees
Sites, in units of the cell vectors:
1 Tm 0.2500 0.2500 0.2500
2 Tm 0.7500 0.7500 0.7500
3 Th 0.0000 0.0000 0.0000
4 Er 0.5000 0.5000 0.5000

The value obtained for the volume is 124.7 Å³/cell. The spin magnetization comes out at 0.00 μB/f.u. As for the total energy: -5.102 eV per atom.

Entry 6:
# Th4HgAu3

A relaxed structure of Th4HgAu3 (PBE-GGA, Alexandria via LeMat-Bulk).

Cell lengths 3.8173, 4.6269, 12.0918 Å; angles 90.00, 90.00, 90.00 degrees
Sites, in units of the cell vectors:
1 Th 0.5000 0.5000 0.3528
2 Th 0.0000 0.5000 0.8424
3 Th 0.0000 0.0000 0.1597
4 Th 0.5000 0.0000 0.6498
5 Hg 0.5000 0.5000 0.0718
6 Au 0.0000 0.5000 0.5755
7 Au 0.0000 0.0000 0.4262
8 Au 0.5000 0.0000 0.9217

The value obtained for the volume is 213.6 Å³/cell. The spin magnetization comes out at 0.00 μB/f.u. As for the total energy: -5.471 eV per atom.

Repeat the first record exactly.
# SrTaRe2

A relaxed structure of SrTaRe2 (PBE-GGA, Alexandria via LeMat-Bulk).

Cell lengths 4.6881, 4.6881, 4.6881 Å; angles 119.94, 119.94, 90.10 degrees
Sites, in units of the cell vectors:
1 Re 0.0000 0.0000 0.0000
2 Re 0.2500 0.7500 0.5000
3 Sr 0.5000 0.5000 0.0000
4 Ta 0.7500 0.2500 0.5000

The value obtained for the volume is 72.9 Å³/cell. The spin magnetization comes out at 0.00 μB/f.u. As for the total energy: -8.647 eV per atom.